# PBE RbAl2CrBr8, optimized geometry
data_RbAl2CrBr8
_symmetry_space_group_name_H-M 'R -3'
_symmetry_Int_Tables_number 148
_symmetry_space_group_name_Hall '-R 3'
_cell_length_a 6.8407
_cell_length_b 6.8407
_cell_length_c 30.2313
_cell_angle_alpha 90.00
_cell_angle_beta 90.00
_cell_angle_gamma 120.00
loop_
_atom_site_label
_atom_site_type_symbol
_atom_site_fract_x
_atom_site_fract_y
_atom_site_fract_z
_atom_site_occupancy
Rb1 Rb 0.0000 0.0000 0.0000 1
Al1 Al 0.0000 0.0000 0.2464 1
Cr1 Cr 0.0000 0.0000 0.5000 1
Br1 Br 0.0000 0.0000 0.3236 1
Br2 Br 0.0027 0.6753 0.2228 1
# Magnetic moment, μB per atom: 0.42
# Formation energy (no corrections), kcal/mol of atoms: -23.9
# DFT total energy, eV/f.u.: -43.90
# V, Å³ per cell: 1225.14